Entry 1:
NaGdCd, optimized geometry, DFT GGA-PBE; Fermi-level density of states = 3.644 states/eV/cell; offset from the most stable computed form = 0.025 eV/atom; magnetic moment = 7.54 Bohr magnetons per cell; energy of formation from the pure elements = 5 meV per atom
1.0
3.2683 0.0000 0.0000
0.0000 5.3580 0.0000
0.0000 -2.6790 4.6401
Na Gd Cd
1 1 1
direct
0.8382 0.0000 0.0000
0.3325 0.3333 0.6667
0.8293 0.6667 0.3333

***

Entry 2:
NaGdCd2, optimized geometry, DFT GGA-PBE; Fermi-level density of states = 3.273 states/eV/cell; offset from the most stable computed form = 0.000 eV/atom; magnetic moment = 7.63 Bohr magnetons per cell; energy of formation from the pure elements = -181 meV per atom
1.0
3.6692 0.0000 0.0000
0.0000 3.6692 0.0000
0.0000 0.0000 7.8947
Na Gd Cd
1 1 2
direct
0.5000 0.5000 0.0000
0.5000 0.5000 0.5000
0.0000 0.0000 0.7491
0.0000 0.0000 0.2509

***

Entry 3:
NaGdCd4, optimized geometry, DFT GGA-PBE; Fermi-level density of states = 5.760 states/eV/cell; magnetic moment = 7.48 Bohr magnetons per cell; energy of formation from the pure elements = -156 meV per atom
1.0
5.9526 0.0000 0.0000
2.9763 5.1551 0.0000
2.9763 1.7184 4.8603
Na Gd Cd
1 1 4
direct
0.2500 0.2500 0.2500
0.0000 0.0000 0.0000
0.6251 0.6251 0.1247
0.6251 0.1247 0.6251
0.6251 0.6251 0.6251
0.1247 0.6251 0.6251

***

Entry 4:
NaGdCd, optimized geometry, DFT GGA-PBE; Fermi-level density of states = 3.547 states/eV/cell; offset from the most stable computed form = 0.000 eV/atom; magnetic moment = 7.56 Bohr magnetons per cell; energy of formation from the pure elements = -20 meV per atom
1.0
3.4600 0.0000 0.0000
0.0000 3.4600 0.0000
-1.7300 -1.7300 7.3683
Na Gd Cd
1 1 1
direct
0.0174 0.0174 0.0348
0.3121 0.3121 0.6243
0.6705 0.6705 0.3410

***

Entry 5:
NaGdCd2, optimized geometry, DFT GGA-PBE; Fermi-level density of states = 4.056 states/eV/cell; offset from the most stable computed form = 0.025 eV/atom; magnetic moment = 7.36 Bohr magnetons per cell; energy of formation from the pure elements = -156 meV per atom
1.0
5.2667 0.0000 0.0000
2.6334 4.5611 0.0000
2.6334 1.5204 4.3003
Na Gd Cd
1 1 2
direct
0.5000 0.5000 0.5000
0.0000 0.0000 0.0000
0.2500 0.2500 0.2500
0.7500 0.7500 0.7500

***

Entry 6:
NaNdGdCd, optimized geometry, DFT GGA-PBE; Fermi-level density of states = 4.485 states/eV/cell; magnetic moment = 8.15 Bohr magnetons per cell; energy of formation from the pure elements = -7 meV per atom
1.0
5.4964 0.0000 0.0000
2.7482 4.7600 0.0000
2.7482 1.5867 4.4878
Na Gd Nd Cd
1 1 1 1
direct
0.2500 0.2500 0.2500
0.5000 0.5000 0.5000
0.0000 0.0000 0.0000
0.7500 0.7500 0.7500

***

Entry 7:
NaGdCdPb, optimized geometry, DFT GGA-PBE; Fermi-level density of states = 3.105 states/eV/cell; magnetic moment = 6.93 Bohr magnetons per cell; energy of formation from the pure elements = -299 meV per atom
1.0
5.3605 0.0000 0.0000
2.6802 4.6423 0.0000
2.6802 1.5474 4.3768
Pb Na Gd Cd
1 1 1 1
direct
0.2500 0.2500 0.2500
0.0000 0.0000 0.0000
0.5000 0.5000 0.5000
0.7500 0.7500 0.7500

***

Entry 8:
NaPmGdCd, optimized geometry, DFT GGA-PBE; Fermi-level density of states = 4.911 states/eV/cell; magnetic moment = 8.11 Bohr magnetons per cell; energy of formation from the pure elements = -3 meV per atom
1.0
-4.4876 2.7407 1.5405
-3.0298 -1.8338 4.1810
-0.0481 2.7276 4.7520
Cd Gd Na Pm
1 1 1 1
direct
0.7500 0.7500 0.7500
0.0000 0.0000 0.0000
0.2500 0.2500 0.2500
0.5000 0.5000 0.5000

***

Entry 9:
NaGdCdPt, optimized geometry, DFT GGA-PBE; Fermi-level density of states = 3.951 states/eV/cell; magnetic moment = 7.46 Bohr magnetons per cell; energy of formation from the pure elements = -443 meV per atom
1.0
4.9515 0.0000 0.0000
2.4757 4.2881 0.0000
2.4757 1.4294 4.0429
Na Gd Pt Cd
1 1 1 1
direct
0.2500 0.2500 0.2500
0.0000 0.0000 0.0000
0.7500 0.7500 0.7500
0.5000 0.5000 0.5000

***

Entry 10:
NaGdCdSb, optimized geometry, DFT GGA-PBE; Fermi-level density of states = 4.761 states/eV/cell; formation energy (no corrections) = -414 meV per atom; magnetic moment = 7.03 Bohr magnetons per cell
1.0
5.3258 0.0000 0.0000
2.6629 4.6123 0.0000
2.6629 1.5374 4.3485
Sb Gd Na Cd
1 1 1 1
direct
0.2500 0.2500 0.2500
0.5000 0.5000 0.5000
0.0000 0.0000 0.0000
0.7500 0.7500 0.7500

***

Entry 11:
NaSmGdCd, optimized geometry, DFT GGA-PBE; Fermi-level density of states = 5.102 states/eV/cell; magnetic moment = 8.08 Bohr magnetons per cell; energy of formation from the pure elements = 2 meV per atom
1.0
5.4642 0.0000 0.0000
2.7321 4.7321 0.0000
2.7321 1.5774 4.4615
Na Gd Sm Cd
1 1 1 1
direct
0.7500 0.7500 0.7500
0.5000 0.5000 0.5000
0.0000 0.0000 0.0000
0.2500 0.2500 0.2500

***

Entry 12:
NaSrGdCd, optimized geometry, DFT GGA-PBE; Fermi-level density of states = 6.543 states/eV/cell; magnetic moment = 7.33 Bohr magnetons per cell; energy of formation from the pure elements = -1 meV per atom
1.0
5.6950 0.0000 0.0000
2.8475 4.9320 0.0000
2.8475 1.6440 4.6499
Sr Gd Na Cd
1 1 1 1
direct
0.0000 0.0000 0.0000
0.5000 0.5000 0.5000
0.2500 0.2500 0.2500
0.7500 0.7500 0.7500

***

Entry 13:
NaGdZnCd, optimized geometry, DFT GGA-PBE; Fermi-level density of states = 3.454 states/eV/cell; magnetic moment = 7.33 Bohr magnetons per cell; energy of formation from the pure elements = -105 meV per atom
1.0
-4.4653 1.7903 -1.8213
-2.4606 -2.5444 -3.7327
-4.3828 -2.4848 1.0384
Na Zn Gd Cd
1 1 1 1
direct
0.0000 0.0000 0.0000
0.2500 0.2500 0.2500
0.5000 0.5000 0.5000
0.7500 0.7500 0.7500

***

Entry 14:
NdGdCd2, optimized geometry, DFT GGA-PBE; Fermi-level density of states = 3.895 states/eV/cell; offset from the most stable computed form = 0.000 eV/atom; magnetic moment = 8.01 Bohr magnetons per cell; energy of formation from the pure elements = -339 meV per atom
1.0
5.3982 0.0000 0.0000
2.6991 4.6749 0.0000
2.6991 1.5583 4.4076
Gd Nd Cd
1 1 2
direct
0.5000 0.5000 0.5000
0.0000 0.0000 0.0000
0.2500 0.2500 0.2500
0.7500 0.7500 0.7500

***

Entry 15:
NdGd2Cd, optimized geometry, DFT GGA-PBE; Fermi-level density of states = 5.647 states/eV/cell; offset from the most stable computed form = 0.000 eV/atom; magnetic moment = 14.71 Bohr magnetons per cell; energy of formation from the pure elements = -156 meV per atom
1.0
-2.0473 2.9605 -0.6105
-2.8984 -1.7133 1.4114
2.1526 3.2015 8.3068
Gd Nd Cd
2 1 1
direct
0.0000 0.0000 0.7778
0.0000 0.0000 0.2222
0.5000 0.5000 0.5000
0.5000 0.5000 0.0000

***

Entry 16:
NdGd2Cd, optimized geometry, DFT GGA-PBE; Fermi-level density of states = 5.252 states/eV/cell; offset from the most stable computed form = 0.037 eV/atom; magnetic moment = 15.52 Bohr magnetons per cell; energy of formation from the pure elements = -119 meV per atom
1.0
4.9516 0.0000 0.0000
0.0000 4.9136 0.0000
0.0000 0.0000 4.9136
Gd Nd Cd
2 1 1
direct
0.0000 0.0000 0.5000
0.0000 0.5000 0.0000
0.5000 0.5000 0.5000
0.5000 0.0000 0.0000

***

Entry 17:
NdGdCd2, optimized geometry, DFT GGA-PBE; Fermi-level density of states = 4.847 states/eV/cell; offset from the most stable computed form = 0.005 eV/atom; magnetic moment = 8.05 Bohr magnetons per cell; energy of formation from the pure elements = -333 meV per atom
1.0
3.8605 0.0000 0.0000
0.0000 5.3677 0.0000
0.0000 0.0000 5.3677
Gd Nd Cd
1 1 2
direct
0.5000 0.0000 0.0000
0.5000 0.5000 0.5000
0.0000 0.0000 0.5000
0.0000 0.5000 0.0000

***

Entry 18:
NdGd2Cd, optimized geometry, DFT GGA-PBE; Fermi-level density of states = 4.922 states/eV/cell; offset from the most stable computed form = 0.323 eV/atom; magnetic moment = 15.03 Bohr magnetons per cell; energy of formation from the pure elements = 167 meV per atom
1.0
-3.4752 -0.5606 0.0914
-1.6874 -1.0714 -2.8990
0.2465 -12.2226 2.2351
Gd Nd Cd
2 1 1
direct
0.0879 0.0879 0.7364
0.9121 0.9121 0.2636
0.5000 0.5000 0.5000
0.0000 0.0000 0.0000

***

Entry 19:
NdGd2Cd, optimized geometry, DFT GGA-PBE; Fermi-level density of states = 6.115 states/eV/cell; offset from the most stable computed form = 0.127 eV/atom; magnetic moment = 16.32 Bohr magnetons per cell; energy of formation from the pure elements = -29 meV per atom
1.0
-1.5586 -5.2234 -0.7926
2.9699 -4.1155 2.1411
-2.0021 -2.9447 4.2026
Gd Nd Cd
2 1 1
direct
0.2500 0.2500 0.2500
0.7500 0.7500 0.7500
0.0000 0.0000 0.0000
0.5000 0.5000 0.5000

***

Entry 20:
NdGdCdPb, optimized geometry, DFT GGA-PBE; Fermi-level density of states = 4.680 states/eV/cell; magnetic moment = 7.38 Bohr magnetons per cell; energy of formation from the pure elements = -422 meV per atom
1.0
-1.5921 4.4277 2.7610
-3.7823 -0.4356 3.9073
1.4062 0.6010 5.2368
Pb Gd Nd Cd
1 1 1 1
direct
0.2500 0.2500 0.2500
0.0000 0.0000 0.0000
0.5000 0.5000 0.5000
0.7500 0.7500 0.7500